# 1
This record from the Alexandria database describes a crystal of ZrScVNi3 relaxed with PBEsol. The functional is SCAN.

Summary:
The calculation puts the energy of formation from the pure elements at -374 meV/atom.

Cell lengths 4.9874, 4.9874, 11.6982 Å; angles 90.00, 90.00, 120.00 degrees
Space group R3m (No. 160, hexagonal axes)
Symmetry-distinct sites (fractional):
Zr: 0.0000 0.0000 0.0000 [3 per cell]
Sc: 0.0000 0.0000 0.7427 [3 per cell]
V: 0.0000 0.0000 0.3695 [3 per cell]
Ni: 0.1669 0.3339 0.2035 [9 per cell]

---

# 2
This record from the Alexandria database describes a crystal of InGa2Ir2 relaxed with PBEsol. The functional is SCAN.

Summary:
The calculation puts the energy of formation from the pure elements at -329 meV/atom.

Cell lengths 7.322, 7.322, 2.936 Å; angles 90.00, 90.00, 90.00 degrees
Space group P4/mbm (No. 127)
Symmetry-distinct sites (fractional):
In: 0.000 0.000 0.000 [2 per cell]
Ga: 0.146 0.354 0.500 [4 per cell]
Ir: 0.150 0.650 0.000 [4 per cell]

---

# 3
This record from the Alexandria database describes a crystal of HfBr2Cl relaxed with PBEsol. The functional is SCAN.

Summary:
The value obtained for the formation energy without anion corrections is -496 meV per atom.

Cell lengths 6.804, 6.804, 6.804 Å; angles 90.00, 90.00, 90.00 degrees
Space group Fm-3m (No. 225)
Symmetry-distinct sites (fractional):
Hf: 0.000 0.000 0.000 [4 per cell]
Br: 0.250 0.250 0.250 [8 per cell]
Cl: 0.000 0.000 0.500 [4 per cell]

---

# 4
This record from the Alexandria database describes a crystal of RbLaO2 relaxed with PBEsol. The functional is SCAN.

Summary:
The value obtained for the formation energy without anion corrections is -2730 meV per atom.

Cell lengths 6.378, 6.378, 9.356 Å; angles 90.00, 90.00, 90.00 degrees
Space group I-42d (No. 122)
Symmetry-distinct sites (fractional):
Rb: 0.000 0.000 0.000 [4 per cell]
La: 0.000 0.000 0.500 [4 per cell]
O: 0.174 0.250 0.625 [8 per cell]

---

# 5
This record from the Alexandria database describes a crystal of ZnInAs2 relaxed with PBEsol. The functional is SCAN.

Summary:
The calculation puts the energy of formation from the pure elements at 239 meV/atom.

Cell lengths 3.879, 5.241, 7.788 Å; angles 90.00, 90.00, 90.00 degrees
Space group Immm (No. 71)
Symmetry-distinct sites (fractional):
Zn: 0.000 0.000 0.000 [2 per cell]
In: 0.000 0.000 0.500 [2 per cell]
As: 0.000 0.500 0.284 [4 per cell]

---

# 6
This record from the Alexandria database describes a crystal of Mg2HgO relaxed with PBEsol. The functional is SCAN.

Summary:
The value obtained for the formation energy without anion corrections is -435 meV per atom.

Cell lengths 6.425, 6.425, 6.425 Å; angles 90.00, 90.00, 90.00 degrees
Space group Fm-3m (No. 225)
Symmetry-distinct sites (fractional):
Mg: 0.250 0.250 0.250 [8 per cell]
Hg: 0.000 0.000 0.000 [4 per cell]
O: 0.000 0.000 0.500 [4 per cell]

---

# 7
This record from the Alexandria database describes a crystal of K4CaCl relaxed with PBEsol. The functional is SCAN.

Summary:
The value obtained for the formation energy without anion corrections is -91 meV per atom.

Cell lengths 11.032, 11.032, 11.032 Å; angles 90.00, 90.00, 90.00 degrees
Space group F-43m (No. 216)
Symmetry-distinct sites (fractional):
K: 0.124 0.124 0.376 [16 per cell]
Ca: 0.000 0.000 0.000 [4 per cell]
Cl: 0.250 0.250 0.750 [4 per cell]

---

# 8
This record from the Alexandria database describes a crystal of RbNaP2S relaxed with PBEsol. The functional is SCAN.

Summary:
The value obtained for the formation energy without anion corrections is 1095 meV per atom.

Cell lengths 6.164, 6.164, 5.844 Å; angles 90.00, 90.00, 90.00 degrees
Space group P4/mmm (No. 123)
Symmetry-distinct sites (fractional):
Rb: 0.000 0.000 0.000 [1 per cell]
Na: 0.500 0.500 0.500 [1 per cell]
P: 0.000 0.500 0.000 [2 per cell]
S: 0.000 0.000 0.500 [1 per cell]

---

# 9
This record from the Alexandria database describes a crystal of InAs2P relaxed with PBEsol. The functional is SCAN.

Summary:
The calculation puts the energy of formation from the pure elements at 498 meV/atom.

Cell lengths 6.688, 6.688, 6.688 Å; angles 90.00, 90.00, 90.00 degrees
Space group F-43m (No. 216)
Symmetry-distinct sites (fractional):
In: 0.000 0.000 0.000 [4 per cell]
As: 0.000 0.000 0.500 [4 per cell]
As: 0.250 0.250 0.750 [4 per cell]
P: 0.250 0.250 0.250 [4 per cell]

---

# 10
This record from the Alexandria database describes a crystal of CaCrCo2 relaxed with PBEsol. The functional is SCAN.

Summary:
The calculation puts the energy of formation from the pure elements at 567 meV/atom.

Cell lengths 2.965, 2.965, 6.678 Å; angles 90.00, 90.00, 90.00 degrees
Space group P4mm (No. 99)
Symmetry-distinct sites (fractional):
Ca: 0.000 0.000 0.000 [1 per cell]
Cr: 0.500 0.500 0.652 [1 per cell]
Co: 0.000 0.000 0.502 [1 per cell]
Co: 0.500 0.500 0.313 [1 per cell]

---

# 11
This record from the Alexandria database describes a crystal of BiMo3Pt relaxed with PBEsol. The functional is SCAN.

Summary:
The calculation puts the energy of formation from the pure elements at 1503 meV/atom.

Cell lengths 4.785, 4.785, 4.785 Å; angles 90.00, 90.00, 90.00 degrees
Space group Pm-3m (No. 221)
Symmetry-distinct sites (fractional):
Bi: 0.000 0.000 0.000 [1 per cell]
Mo: 0.000 0.500 0.500 [3 per cell]
Pt: 0.500 0.500 0.500 [1 per cell]

---

# 12
This record from the Alexandria database describes a crystal of AgWAu2 relaxed with PBEsol. The functional is SCAN.

Summary:
The calculation puts the energy of formation from the pure elements at 439 meV/atom.

Cell lengths 9.169, 2.722, 5.309 Å; angles 90.00, 96.90, 90.00 degrees
Space group C2/m (No. 12)
Symmetry-distinct sites (fractional):
Ag: 0.000 0.000 0.000 [2 per cell]
W: 0.000 0.500 0.500 [2 per cell]
Au: 0.247 0.000 0.741 [4 per cell]

---

# 13
This record from the Alexandria database describes a crystal of ZrCr2Os relaxed with PBEsol. The functional is SCAN.

Summary:
The calculation puts the energy of formation from the pure elements at -25 meV/atom.

Cell lengths 2.987, 2.987, 6.362 Å; angles 90.00, 90.00, 90.00 degrees
Space group P4mm (No. 99)
Symmetry-distinct sites (fractional):
Zr: 0.000 0.000 0.000 [1 per cell]
Cr: 0.000 0.000 0.477 [1 per cell]
Cr: 0.500 0.500 0.274 [1 per cell]
Os: 0.500 0.500 0.710 [1 per cell]

---

# 14
This record from the Alexandria database describes a crystal of KTe3Pt relaxed with PBEsol. The functional is SCAN.

Summary:
The value obtained for the formation energy without anion corrections is -243 meV per atom.

Cell lengths 5.372, 5.372, 5.372 Å; angles 90.00, 90.00, 90.00 degrees
Space group Pm-3m (No. 221)
Symmetry-distinct sites (fractional):
K: 0.000 0.000 0.000 [1 per cell]
Te: 0.000 0.500 0.500 [3 per cell]
Pt: 0.500 0.500 0.500 [1 per cell]

---

# 15
This record from the Alexandria database describes a crystal of CoPt7 relaxed with PBEsol. The functional is SCAN.

Summary:
The calculation puts the energy of formation from the pure elements at -73 meV/atom.

Cell lengths 7.748, 7.748, 7.748 Å; angles 90.00, 90.00, 90.00 degrees
Space group Fm-3m (No. 225)
Symmetry-distinct sites (fractional):
Co: 0.000 0.000 0.000 [4 per cell]
Pt: 0.000 0.000 0.500 [4 per cell]
Pt: 0.000 0.250 0.250 [24 per cell]

---

# 16
This record from the Alexandria database describes a crystal of KSrPb2 relaxed with PBEsol. The functional is SCAN.

Summary:
The calculation puts the energy of formation from the pure elements at -454 meV/atom.

Cell lengths 8.124, 8.124, 8.124 Å; angles 90.00, 90.00, 90.00 degrees
Space group Fm-3m (No. 225)
Symmetry-distinct sites (fractional):
K: 0.000 0.000 0.000 [4 per cell]
Sr: 0.000 0.000 0.500 [4 per cell]
Pb: 0.250 0.250 0.250 [8 per cell]

---

# 17
This record from the Alexandria database describes a crystal of CsBa2Co2F9 relaxed with PBEsol. The functional is SCAN.

Summary:
The value obtained for the formation energy without anion corrections is -3150 meV per atom.

Cell lengths 5.8636, 5.8636, 20.9855 Å; angles 90.00, 90.00, 120.00 degrees
Space group R3m (No. 160, hexagonal axes)
Symmetry-distinct sites (fractional):
Cs: 0.0000 0.0000 0.0000 [3 per cell]
Ba: 0.0000 0.0000 0.2167 [3 per cell]
Ba: 0.0000 0.0000 0.4251 [3 per cell]
Co: 0.0000 0.0000 0.6108 [3 per cell]
Co: 0.0000 0.0000 0.8252 [3 per cell]
F: 0.0111 0.5056 0.9875 [9 per cell]
F: 0.0157 0.5078 0.2122 [9 per cell]
F: 0.1695 0.3391 0.7803 [9 per cell]

---

# 18
This record from the Alexandria database describes a crystal of CsLi3I4 relaxed with PBEsol. The functional is SCAN.

Summary:
The value obtained for the formation energy without anion corrections is -1428 meV per atom.

Cell lengths 10.927, 4.576, 11.443 Å; angles 90.00, 93.49, 90.00 degrees
Space group Pm (No. 6)
Symmetry-distinct sites (fractional):
Cs: 0.000 0.000 0.000 [1 per cell]
Cs: 0.456 0.000 0.148 [1 per cell]
Li: 0.225 0.500 0.460 [1 per cell]
Li: 0.321 0.000 0.790 [1 per cell]
Li: 0.576 0.000 0.513 [1 per cell]
Li: 0.679 0.500 0.837 [1 per cell]
Li: 0.860 0.500 0.292 [1 per cell]
Li: 0.939 0.000 0.615 [1 per cell]
I: 0.102 0.500 0.248 [1 per cell]
I: 0.184 0.000 0.584 [1 per cell]
I: 0.282 0.500 0.922 [1 per cell]
I: 0.470 0.500 0.417 [1 per cell]
I: 0.566 0.000 0.753 [1 per cell]
I: 0.723 0.500 0.076 [1 per cell]
I: 0.798 0.000 0.410 [1 per cell]
I: 0.901 0.500 0.741 [1 per cell]

---

# 19
This record from the Alexandria database describes a crystal of SbPAu2F relaxed with PBEsol. The functional is SCAN.

Summary:
The value obtained for the formation energy without anion corrections is -340 meV per atom.

Cell lengths 4.865, 4.865, 3.763 Å; angles 90.00, 90.00, 90.00 degrees
Space group P4/mmm (No. 123)
Symmetry-distinct sites (fractional):
Sb: 0.000 0.000 0.000 [1 per cell]
P: 0.500 0.500 0.500 [1 per cell]
Au: 0.000 0.500 0.500 [2 per cell]
F: 0.500 0.500 0.000 [1 per cell]

---

# 20
This record from the Alexandria database describes a crystal of ZrCr2Tc relaxed with PBEsol. The functional is SCAN.

Summary:
The calculation puts the energy of formation from the pure elements at 105 meV/atom.

Cell lengths 3.056, 4.348, 8.592 Å; angles 90.00, 90.00, 90.00 degrees
Space group Immm (No. 71)
Symmetry-distinct sites (fractional):
Zr: 0.000 0.000 0.000 [2 per cell]
Cr: 0.000 0.500 0.240 [4 per cell]
Tc: 0.000 0.000 0.500 [2 per cell]

---

Results for DOS at the Fermi energy: 21.6, 2.6, 7.8, 0.0, 3.4, 6.0, 11.2, 1.6, 7.8, 2.9, 4.9, 4.0, 2.5, 5.3, 32.9, 8.8, 0.0, 0.0, 2.2, 5.5 (in states/eV/cell, following the order of the records).